No. 1
# MgCu2Au PBE relaxed
# Electronic total energy = -3.4889 eV/atom
data_MgCu2Au
_cell_length_a 3.900
_cell_length_b 3.900
_cell_length_c 7.840
_cell_angle_alpha 90.00
_cell_angle_beta 90.00
_cell_angle_gamma 90.00
_symmetry_space_group_name_H-M 'I 4/m m m'
_symmetry_Int_Tables_number 139
_symmetry_space_group_name_Hall '-I 4 2'
loop_
_atom_site_label
_atom_site_type_symbol
_atom_site_fract_x
_atom_site_fract_y
_atom_site_fract_z
_atom_site_occupancy
Mg1 Mg 0.000 0.000 0.000 1
Cu1 Cu 0.000 0.500 0.250 1
Au1 Au 0.000 0.000 0.500 1

***

No. 2
# MgPb4 PBE relaxed
# Electronic total energy = -3.2887 eV/atom
# Relative energy among the computed polymorphs = 4 meV/atom
data_MgPb4
_cell_length_a 7.873
_cell_length_b 7.873
_cell_length_c 4.801
_cell_angle_alpha 90.00
_cell_angle_beta 90.00
_cell_angle_gamma 90.00
_symmetry_space_group_name_H-M 'I 4/m'
_symmetry_Int_Tables_number 87
_symmetry_space_group_name_Hall '-I 4'
loop_
_atom_site_label
_atom_site_type_symbol
_atom_site_fract_x
_atom_site_fract_y
_atom_site_fract_z
_atom_site_occupancy
Mg1 Mg 0.000 0.000 0.000 1
Pb1 Pb 0.097 0.706 0.500 1

***

No. 3
# Mg2Pd5Pb PBE relaxed
# Electronic total energy = -4.5813 eV/atom
data_Mg2Pd5Pb
_cell_length_a 4.713
_cell_length_b 4.713
_cell_length_c 12.150
_cell_angle_alpha 90.00
_cell_angle_beta 90.00
_cell_angle_gamma 90.00
_symmetry_space_group_name_H-M 'I 4/m m m'
_symmetry_Int_Tables_number 139
_symmetry_space_group_name_Hall '-I 4 2'
loop_
_atom_site_label
_atom_site_type_symbol
_atom_site_fract_x
_atom_site_fract_y
_atom_site_fract_z
_atom_site_occupancy
Mg1 Mg 0.000 0.000 0.239 1
Pd1 Pd 0.000 0.000 0.000 1
Pd2 Pd 0.000 0.500 0.130 1
Pb1 Pb 0.000 0.000 0.500 1

***

no.,ΔE_f (eV/f.u.),DOS at the Fermi energy (states/eV per atom)
1,-0.89,0.375
2,-0.02,0.380
3,-3.79,0.515